1.
## Na2GeBiO (PBE)

Data for Na2GeBiO after structural relaxation.

Output
Formation energy from raw total energies (meV/atom): 253

Cell lengths 6.1893, 6.1893, 4.3438 Å; angles 90.00, 90.00, 90.00 degrees
Last column: magnetic moment on the atom in μB.
Positions (direct):
Ge: 0.5000 0.5000 0.5000  0.40
Na: 0.0000 0.5000 0.0000  -0.01
Na: 0.5000 0.0000 0.0000  -0.01
Bi: 0.0000 0.0000 0.0000  -0.15
O: 0.0000 0.0000 0.5000  -0.10


2.
## Y3PaPt4 (PBE)

Data for Y3PaPt4 after structural relaxation.

Output
Energy of formation (eV/atom): -1.10

Cell lengths 6.9216, 6.6956, 8.6533 Å; angles 90.00, 90.00, 112.04 degrees
Positions (direct):
Y: 0.7500 0.5000 0.6144
Y: 0.7500 0.0000 0.3145
Y: 0.7500 0.5000 0.1891
Y: 0.2500 0.5000 0.8109
Y: 0.2500 0.5000 0.3856
Y: 0.2500 0.0000 0.6855
Pt: 0.4629 0.7129 0.0938
Pt: 0.0419 0.8100 0.3919
Pt: 0.5371 0.2871 0.9062
Pt: 0.0371 0.2871 0.0938
Pt: 0.5419 0.8100 0.6081
Pt: 0.9581 0.1900 0.6081
Pt: 0.9629 0.7129 0.9062
Pt: 0.4581 0.1900 0.3919
Pa: 0.2500 0.0000 0.1179
Pa: 0.7500 0.0000 0.8821


3.
## HgRh (PBE)

Data for HgRh after structural relaxation.

Output
Energy of formation (eV/atom): 0.24

Cell lengths 5.7559, 5.7559, 5.7559 Å; angles 150.33, 130.61, 58.68 degrees
Positions (direct):
Hg: 0.6386 0.8886 0.7500
Hg: 0.3614 0.1114 0.2500
Rh: 0.8906 0.6406 0.2500
Rh: 0.1094 0.3594 0.7500


4.
## CdHF4 (PBE)

Data for CdHF4 after structural relaxation.

Output
Offset from the most stable computed form (eV/f.u.): 0.042

Cell lengths 6.2166, 6.2166, 6.2166 Å; angles 118.87, 118.87, 91.96 degrees
Positions (direct):
F: 0.7405 0.4219 0.3186
F: 0.6719 0.4905 0.8186
F: 0.1033 0.4219 0.6814
F: 0.3347 0.0083 0.6736
F: 0.6719 0.8533 0.1814
F: 0.9112 0.0847 0.8264
F: 0.3347 0.6612 0.3264
F: 0.2583 0.0847 0.1736
Cd: 0.3184 0.3184 0.0000
Cd: 0.5684 0.0684 0.5000
H: 0.9184 0.4184 0.5000
H: 0.6684 0.6684 0.0000


5.
## LiYCo2 (PBE)

Data for LiYCo2 after structural relaxation.

Output
Offset from the most stable computed form (eV/f.u.): 0.000
Energy of formation (eV/atom): 0.01

Cell lengths 4.0169, 4.0169, 5.3261 Å; angles 67.79, 67.79, 60.05 degrees
Last column: magnetic moment on the atom in μB.
Positions (direct):
Li: 0.4635 0.4635 0.6099  -0.03
Co: 0.0533 0.0533 0.8404  1.18
Co: 0.7213 0.7213 0.8362  1.24
Y: 0.2618 0.2618 0.2135  -0.17


6.
## Pr4DyY3Te8 (PBE)

Data for Pr4DyY3Te8 after structural relaxation.

Output
Formation energy from raw total energies (meV/atom): -1373

Cell lengths 8.7936, 9.0030, 8.7939 Å; angles 119.23, 120.00, 90.00 degrees
Positions (direct):
Y: 0.5000 0.5000 0.5000
Y: 0.0000 0.5000 0.5000
Y: 0.5000 0.5000 0.0000
Pr: 0.0000 0.0000 0.0000
Pr: 0.5000 0.0000 0.5000
Pr: 0.5000 0.0000 0.0000
Pr: 0.0000 0.0000 0.5000
Te: 0.7452 0.7356 0.4904
Te: 0.2448 0.7353 0.4897
Te: 0.7551 0.2647 0.0096
Te: 0.2545 0.2647 0.0096
Te: 0.2548 0.2644 0.5096
Te: 0.7455 0.7353 0.9904
Te: 0.2449 0.7353 0.9904
Te: 0.7552 0.2647 0.5103
Dy: 0.0000 0.5000 0.0000


Asked for magnetic moment across the records above, the calculation gives 0.15 0.00 0.00 0.00 0.51 0.00 μB/atom in order.